[1]
# CaZrRe2 | Alexandria via LeMat-Bulk | meta-GGA SCAN | single point on PBEsol structure
data_CaZrRe2
_chemical_formula_sum 'Ca1 Zr1 Re2'
_symmetry_space_group_name_H-M 'P 1'
_symmetry_Int_Tables_number 1
_cell_length_a 3.178
_cell_length_b 4.670
_cell_length_c 4.703
_cell_angle_alpha 90.00
_cell_angle_beta 90.00
_cell_angle_gamma 90.00
loop_
_symmetry_equiv_pos_as_xyz
'x,y,z'
loop_
_atom_site_label
_atom_site_type_symbol
_atom_site_fract_x
_atom_site_fract_y
_atom_site_fract_z
_atom_site_occupancy
Ca1 Ca 0.000 0.000 0.000 1
Zr1 Zr 0.500 0.000 0.500 1
Re1 Re 0.000 0.500 0.500 1
Re2 Re 0.500 0.500 0.000 1
# **D(E_F)**: 3.8 states/eV/f.u.
# **Uncorrected energy**: -180.1 eV for the cell shown
# **Space-group type**: Pmmm
# **Total moment**: 0.00 Bohr magnetons per cell

=====

[2]
# Ca3Rh | Alexandria via LeMat-Bulk | meta-GGA SCAN | single point on PBEsol structure
data_Ca3Rh
_chemical_formula_sum 'Ca3 Rh1'
_symmetry_space_group_name_H-M 'P 1'
_symmetry_Int_Tables_number 1
_cell_length_a 4.670
_cell_length_b 4.670
_cell_length_c 4.679
_cell_angle_alpha 90.00
_cell_angle_beta 90.00
_cell_angle_gamma 90.00
loop_
_symmetry_equiv_pos_as_xyz
'x,y,z'
loop_
_atom_site_label
_atom_site_type_symbol
_atom_site_fract_x
_atom_site_fract_y
_atom_site_fract_z
_atom_site_occupancy
Ca1 Ca 0.000 0.000 0.000 1
Ca2 Ca 0.000 0.500 0.500 1
Ca3 Ca 0.500 0.000 0.500 1
Rh1 Rh 0.500 0.500 0.998 1
# **D(E_F)**: 3.9 states/eV/f.u.
# **Uncorrected energy**: -62.7 eV for the cell shown
# **Space-group type**: P4mm
# **Total moment**: 0.00 Bohr magnetons per cell

=====

[3]
# Ca5Rh | Alexandria via LeMat-Bulk | meta-GGA SCAN | single point on PBEsol structure
data_Ca5Rh
_chemical_formula_sum 'Ca5 Rh1'
_symmetry_space_group_name_H-M 'P 1'
_symmetry_Int_Tables_number 1
_cell_length_a 6.477
_cell_length_b 6.477
_cell_length_c 5.013
_cell_angle_alpha 90.00
_cell_angle_beta 90.00
_cell_angle_gamma 120.00
loop_
_symmetry_equiv_pos_as_xyz
'x,y,z'
loop_
_atom_site_label
_atom_site_type_symbol
_atom_site_fract_x
_atom_site_fract_y
_atom_site_fract_z
_atom_site_occupancy
Ca1 Ca 0.000 0.716 0.000 1
Ca2 Ca 0.284 0.284 0.000 1
Ca3 Ca 0.333 0.667 0.500 1
Ca4 Ca 0.667 0.333 0.500 1
Ca5 Ca 0.716 0.000 0.000 1
Rh1 Rh 0.000 0.000 0.500 1
# **D(E_F)**: 4.8 states/eV/f.u.
# **Uncorrected energy**: -81.6 eV for the cell shown
# **Space-group type**: P-62m
# **Total moment**: 0.30 Bohr magnetons per cell
# **Energy above the most stable polymorph in this dataset**: 327 meV per atom

=====

[4]
# Ca5Rh | Alexandria via LeMat-Bulk | meta-GGA SCAN | single point on PBEsol structure
data_Ca5Rh
_chemical_formula_sum 'Ca20 Rh4'
_symmetry_space_group_name_H-M 'P 1'
_symmetry_Int_Tables_number 1
_cell_length_a 7.493
_cell_length_b 15.672
_cell_length_c 6.642
_cell_angle_alpha 90.00
_cell_angle_beta 90.00
_cell_angle_gamma 90.00
loop_
_symmetry_equiv_pos_as_xyz
'x,y,z'
loop_
_atom_site_label
_atom_site_type_symbol
_atom_site_fract_x
_atom_site_fract_y
_atom_site_fract_z
_atom_site_occupancy
Ca1 Ca 0.036 0.145 0.175 1
Ca2 Ca 0.036 0.355 0.175 1
Ca3 Ca 0.094 0.750 0.350 1
Ca4 Ca 0.191 0.064 0.646 1
Ca5 Ca 0.191 0.436 0.646 1
Ca6 Ca 0.309 0.564 0.146 1
Ca7 Ca 0.309 0.936 0.146 1
Ca8 Ca 0.406 0.250 0.850 1
Ca9 Ca 0.464 0.645 0.675 1
Ca10 Ca 0.464 0.855 0.675 1
Ca11 Ca 0.536 0.145 0.325 1
Ca12 Ca 0.536 0.355 0.325 1
Ca13 Ca 0.594 0.750 0.150 1
Ca14 Ca 0.691 0.064 0.854 1
Ca15 Ca 0.691 0.436 0.854 1
Ca16 Ca 0.809 0.564 0.354 1
Ca17 Ca 0.809 0.936 0.354 1
Ca18 Ca 0.906 0.250 0.650 1
Ca19 Ca 0.964 0.645 0.825 1
Ca20 Ca 0.964 0.855 0.825 1
Rh1 Rh 0.241 0.250 0.464 1
Rh2 Rh 0.259 0.750 0.964 1
Rh3 Rh 0.741 0.250 0.036 1
Rh4 Rh 0.759 0.750 0.536 1
# **D(E_F)**: 3.7 states/eV/f.u.
# **Uncorrected energy**: -334.1 eV for the cell shown
# **Space-group type**: Pnma
# **Total moment**: 0.35 Bohr magnetons per cell
# **Energy above the most stable polymorph in this dataset**: 0 meV per atom

=====

[5]
# CaRh3 | Alexandria via LeMat-Bulk | meta-GGA SCAN | single point on PBEsol structure
data_CaRh3
_chemical_formula_sum 'Ca1 Rh3'
_symmetry_space_group_name_H-M 'P 1'
_symmetry_Int_Tables_number 1
_cell_length_a 2.769
_cell_length_b 3.856
_cell_length_c 5.956
_cell_angle_alpha 90.00
_cell_angle_beta 90.00
_cell_angle_gamma 90.00
loop_
_symmetry_equiv_pos_as_xyz
'x,y,z'
loop_
_atom_site_label
_atom_site_type_symbol
_atom_site_fract_x
_atom_site_fract_y
_atom_site_fract_z
_atom_site_occupancy
Ca1 Ca 0.000 0.000 0.000 1
Rh1 Rh 0.000 0.000 0.500 1
Rh2 Rh 0.500 0.500 0.287 1
Rh3 Rh 0.500 0.500 0.713 1
# **D(E_F)**: 4.8 states/eV/f.u.
# **Uncorrected energy**: -110.9 eV for the cell shown
# **Space-group type**: Pmmm
# **Total moment**: 0.00 Bohr magnetons per cell

=====

[6]
# Ca3Rh | Alexandria via LeMat-Bulk | meta-GGA SCAN | single point on PBEsol structure
data_Ca3Rh
_chemical_formula_sum 'Ca12 Rh4'
_symmetry_space_group_name_H-M 'P 1'
_symmetry_Int_Tables_number 1
_cell_length_a 7.631
_cell_length_b 9.296
_cell_length_c 6.319
_cell_angle_alpha 90.00
_cell_angle_beta 90.00
_cell_angle_gamma 90.00
loop_
_symmetry_equiv_pos_as_xyz
'x,y,z'
loop_
_atom_site_label
_atom_site_type_symbol
_atom_site_fract_x
_atom_site_fract_y
_atom_site_fract_z
_atom_site_occupancy
Ca1 Ca 0.041 0.250 0.136 1
Ca2 Ca 0.168 0.067 0.657 1
Ca3 Ca 0.168 0.433 0.657 1
Ca4 Ca 0.332 0.567 0.157 1
Ca5 Ca 0.332 0.933 0.157 1
Ca6 Ca 0.459 0.750 0.636 1
Ca7 Ca 0.541 0.250 0.364 1
Ca8 Ca 0.668 0.067 0.843 1
Ca9 Ca 0.668 0.433 0.843 1
Ca10 Ca 0.832 0.567 0.343 1
Ca11 Ca 0.832 0.933 0.343 1
Ca12 Ca 0.959 0.750 0.864 1
Rh1 Rh 0.124 0.750 0.454 1
Rh2 Rh 0.376 0.250 0.954 1
Rh3 Rh 0.624 0.750 0.046 1
Rh4 Rh 0.876 0.250 0.546 1
# **D(E_F)**: 1.9 states/eV/f.u.
# **Uncorrected energy**: -256.6 eV for the cell shown
# **Space-group type**: Pnma
# **Total moment**: 0.14 Bohr magnetons per cell